Compound: AlV2Fe
Source: Alexandria via LeMat-Bulk
Functional: PBE
Structure: optimized geometry

Cell lengths 2.5984, 2.5984, 8.0487 Å; angles 90.00, 90.00, 105.61 degrees
Last column: magnetic moment on the atom in μB.
Element x y z (fractional)
Al 0.0000 0.0000 0.0136  -0.02
Fe 0.5000 0.5000 0.2511  1.81
V 0.0000 0.0000 0.4902  -0.18
V 0.5000 0.5000 0.7451  0.00

* space-group type: Cmm2
* energy: -7.74 eV per atom

***

Compound: Al6V2Fe
Source: Alexandria via LeMat-Bulk
Functional: PBE
Structure: optimized geometry

Cell lengths 3.9876, 5.9186, 6.4468 Å; angles 117.30, 90.00, 90.00 degrees
Element x y z (fractional)
Al 0.0000 0.4249 0.2882
Al 0.0000 0.1367 0.7117
Al 0.0000 0.5751 0.7118
Al 0.5000 0.2369 0.0000
Al 0.0000 0.8633 0.2883
Al 0.5000 0.7631 0.0000
V 0.5000 0.7682 0.5374
V 0.5000 0.2318 0.4626
Fe 0.0000 0.0000 0.0000

* space-group type: Cmmm
* energy: -5.55 eV per atom

***

Compound: AlVFe5
Source: Alexandria via LeMat-Bulk
Functional: PBE
Structure: optimized geometry

Cell lengths 4.6289, 4.6289, 4.8659 Å; angles 98.44, 98.44, 115.55 degrees
Last column: magnetic moment on the atom in μB.
Element x y z (fractional)
Al 0.5000 0.5000 0.5000  -0.06
V 0.0000 0.0000 0.0000  -1.14
Fe 0.4822 0.9587 0.2428  2.24
Fe 0.9587 0.4822 0.2428  2.24
Fe 0.0000 0.0000 0.5000  1.98
Fe 0.0413 0.5178 0.7572  2.24
Fe 0.5178 0.0413 0.7572  2.24

* space-group type: C2/m
* energy: -7.82 eV per atom

***

Compound: AlV2Fe2
Source: Alexandria via LeMat-Bulk
Functional: PBE
Structure: optimized geometry

Cell lengths 4.1269, 5.1023, 7.1088 Å; angles 117.31, 106.87, 90.00 degrees
Last column: magnetic moment on the atom in μB.
Element x y z (fractional)
Al 0.5000 0.7500 0.0000  0.00
Al 0.5000 0.2500 0.0000  0.00
V 0.1100 0.0799 0.2200  -0.40
V 0.8900 0.4201 0.7800  -0.40
V 0.8900 0.9201 0.7800  -0.40
V 0.1100 0.5799 0.2200  -0.40
Fe 0.6996 0.8400 0.3991  1.71
Fe 0.6996 0.3400 0.3991  1.71
Fe 0.3004 0.1600 0.6009  1.71
Fe 0.3004 0.6600 0.6009  1.71

* space-group type: C2/m
* E above lowest polymorph: 0.0 meV per atom

***

Compound: Al3VFe
Source: Alexandria via LeMat-Bulk
Functional: PBE
Structure: optimized geometry

Cell lengths 4.4307, 4.4307, 4.4307 Å; angles 90.00, 90.00, 90.00 degrees
Last column: magnetic moment on the atom in μB.
Element x y z (fractional)
Fe 0.0000 0.0000 0.0000  0.82
Al 0.0000 0.5000 0.0000  -0.04
Al 0.0000 0.0000 0.5000  -0.04
Al 0.5000 0.0000 0.0000  -0.04
V 0.5000 0.5000 0.5000  2.82

* space-group type: Pm-3m
* E above lowest polymorph: 0.0 meV per atom

***

Compound: Al5VFe6
Source: Alexandria via LeMat-Bulk
Functional: PBE
Structure: optimized geometry

Cell lengths 4.0551, 7.0159, 7.0159 Å; angles 119.98, 106.80, 106.80 degrees
Last column: magnetic moment on the atom in μB.
Element x y z (fractional)
Fe 0.2482 0.0828 0.4138  0.61
Fe 0.7518 0.5862 0.9172  0.61
Fe 0.7480 0.2480 0.2480  0.40
Fe 0.2520 0.7520 0.7520  0.40
Fe 0.2482 0.4138 0.0828  0.61
Fe 0.7518 0.9172 0.5862  0.61
Al 0.5000 0.1660 0.8340  -0.02
Al 0.0000 0.3335 0.6665  -0.02
Al 0.5000 0.5000 0.5000  -0.01
Al 0.0000 0.6665 0.3335  -0.02
Al 0.5000 0.8340 0.1660  -0.02
V 0.0000 0.0000 0.0000  -0.31

* space-group type: Immm
* energy: -6.91 eV per atom

***

Respective mass density values: 5860, 3926, 6558, 6355, 3584, 6130 kg/m3.